(1)
CsK2InH | PBE-GGA | relaxed

extended XYZ file:
```
5
Lattice="5.621 0.000 0.000 0.000 5.621 0.000 0.000 0.000 6.264" Properties=species:S:1:pos:R:3 pbc="T T T"
Cs 0.000 0.000 0.000
K 0.000 2.810 3.132
K 2.810 0.000 3.132
In 2.810 2.810 0.000
H 0.000 0.000 3.132
```

Properties
space-group type = No. 123
total DFT energy (no corrections) = -1.819 eV/atom
D(E_F) = 3.44 states/eV/f.u.
density = 2.74 g/cm³

(2)
YCuSi2 | PBE-GGA | relaxed

extended XYZ file:
```
8
Lattice="-2.265 2.265 7.905 2.265 -2.265 7.905 2.265 2.265 -7.905" Properties=species:S:1:pos:R:3 pbc="T T T"
Y 0.000 0.000 0.000
Y 0.000 2.265 3.952
Cu 2.265 0.000 3.952
Cu 0.000 0.000 7.905
Si 1.132 -0.477 5.929
Si 1.787 1.132 1.976
Si 1.132 2.742 -1.976
Si 0.477 1.132 9.881
```

Properties
space-group type = No. 122
ΔE_f (raw) = -201 meV per atom
total DFT energy (no corrections) = -5.553 eV/atom
D(E_F) = 0.34 states/eV/f.u.
density = 4.27 g/cm³

(3)
TbPm3Ru | PBE-GGA | relaxed

extended XYZ file:
```
5
Lattice="5.500 0.000 0.000 0.000 5.500 0.000 0.000 0.000 5.500" Properties=species:S:1:pos:R:3 pbc="T T T"
Tb 0.000 0.000 0.000
Pm 0.000 2.750 2.750
Pm 2.750 0.000 2.750
Pm 2.750 2.750 0.000
Ru 2.750 2.750 2.750
```

Properties
formation enthalpy at 0 K = 0.03 eV per atom
space-group type = No. 221
total DFT energy (no corrections) = -5.597 eV/atom
polymorph energy (0 for the lowest one) = 0.156 eV/atom
D(E_F) = 9.56 states/eV/f.u.
density = 6.94 g/cm³

(4)
NdThPa4 | PBE-GGA | relaxed

extended XYZ file:
```
6
Lattice="0.000 4.354 4.354 4.354 0.000 4.354 4.354 4.354 0.000" Properties=species:S:1:pos:R:3 pbc="T T T"
Nd 0.000 0.000 0.000
Th 2.177 2.177 2.177
Pa 5.440 3.268 3.268
Pa 3.268 5.440 3.268
Pa 3.268 3.268 5.440
Pa 5.440 5.440 5.440
```

Properties
formation enthalpy at 0 K = 0.18 eV per atom
space-group type = No. 216
total DFT energy (no corrections) = -8.185 eV/atom
D(E_F) = 13.40 states/eV/f.u.
density = 13.08 g/cm³

- The lowest D(E_F) belongs to which entry?
  YCuSi2

- Which of these has the lowest total DFT energy (no corrections)?
  NdThPa4

Copy entry 3 word for word.
TbPm3Ru | PBE-GGA | relaxed

extended XYZ file:
```
5
Lattice="5.500 0.000 0.000 0.000 5.500 0.000 0.000 0.000 5.500" Properties=species:S:1:pos:R:3 pbc="T T T"
Tb 0.000 0.000 0.000
Pm 0.000 2.750 2.750
Pm 2.750 0.000 2.750
Pm 2.750 2.750 0.000
Ru 2.750 2.750 2.750
```

Properties
formation enthalpy at 0 K = 0.03 eV per atom
space-group type = No. 221
total DFT energy (no corrections) = -5.597 eV/atom
polymorph energy (0 for the lowest one) = 0.156 eV/atom
D(E_F) = 9.56 states/eV/f.u.
density = 6.94 g/cm³

- Which of these has the lowest total DFT energy (no corrections)?
  NdThPa4